Compound: HfFe2Os
Source: the Alexandria database
Functional: PBE-GGA
Structure: optimized geometry

extended XYZ file:
```
8
Lattice="-0.0430 3.5145 -1.1671 -2.6269 0.7938 2.4870 5.2989 4.3315 6.9721" Properties=species:S:1:pos:R:3 pbc="T T T"
Fe -0.3210 1.9044 3.1893
Fe 1.5530 7.0440 6.4645
Fe 3.0581 4.8385 5.6434
Fe 0.9681 3.4925 1.2866
Hf -1.3349 2.1541 0.6599
Hf 0.6686 3.6397 5.0595
Os 0.0000 0.0000 0.0000
Os 1.9605 5.0000 3.2324
```

Summary:
VASP energy	-72.8	eV per cell
N(E_F)	0.994	states/eV per atom
energy above the lowest structure with this stoichiometry	0.5124	eV/atom
formation enthalpy at 0 K	1.7	eV/f.u.
magnetization	10.03	Bohr magnetons per cell